Below is a relaxed structure of NbPdRu, with properties calculated at the GGA-PBE level.

Summary:
ΔE_f, eV/atom: -0.20
Polymorph energy (0 for the lowest one), eV per formula unit: 0.19
Theoretical density, g/cm3: 10.48
V, Å³ per atom: 15.87
DOS(E_F), states/eV/f.u.: 2.066
Total magnetization, μB/f.u.: 0.0

Cell: 4.492 4.492 5.449 Å, 90.00 90.00 120.00°
Element x y z (fractional)
1 Ru 0.333 0.667 0.250
2 Ru 0.667 0.333 0.750
3 Nb 0.667 0.333 0.250
4 Nb 0.333 0.667 0.750
5 Pd 0.000 0.000 0.500
6 Pd 0.000 0.000 0.000

***

Below is a relaxed structure of Nb2PdRu, with properties calculated at the GGA-PBE level.

Summary:
ΔE_f, eV/atom: -0.23
Theoretical density, g/cm3: 10.06
V, Å³ per atom: 16.24
DOS(E_F), states/eV/f.u.: 4.003
Total magnetization, μB/f.u.: 0.0

Cell: 3.871 4.096 4.096 Å, 90.00 90.00 90.00°
Element x y z (fractional)
1 Pd 0.500 0.000 0.000
2 Ru 0.500 0.500 0.500
3 Nb 0.000 0.500 0.000
4 Nb 0.000 0.000 0.500

***

Below is a relaxed structure of NbPdRu, with properties calculated at the GGA-PBE level.

Summary:
ΔE_f, eV/atom: -0.19
Polymorph energy (0 for the lowest one), eV per formula unit: 0.22
Theoretical density, g/cm3: 10.52
V, Å³ per atom: 15.80
DOS(E_F), states/eV/f.u.: 2.891
Total magnetization, μB/f.u.: 0.0

Cell: 4.839 4.917 5.171 Å, 113.54 93.18 118.18°
Element x y z (fractional)
1 Nb 0.882 0.136 0.763
2 Nb 0.118 0.864 0.237
3 Ru 0.783 0.184 0.267
4 Ru 0.217 0.816 0.733
5 Pd 0.563 0.486 0.750
6 Pd 0.437 0.514 0.250

***

Below is a relaxed structure of Nb2Pd2Ru, with properties calculated at the GGA-PBE level.

Summary:
ΔE_f, eV/atom: 0.58
Polymorph energy (0 for the lowest one), eV per formula unit: 2.73
Theoretical density, g/cm3: 9.25
V, Å³ per atom: 17.94
DOS(E_F), states/eV/f.u.: 7.205
Total magnetization, μB/f.u.: 0.0

Cell: 3.824 3.824 6.703 Å, 73.43 73.43 90.00°
Element x y z (fractional)
1 Pd 0.599 0.599 0.802
2 Pd 0.401 0.401 0.198
3 Nb 0.750 0.250 0.500
4 Nb 0.250 0.750 0.500
5 Ru 0.000 0.000 0.000

***

Below is a relaxed structure of Nb5PdRu6, with properties calculated at the GGA-PBE level.

Summary:
ΔE_f, eV/atom: -0.23
Theoretical density, g/cm3: 10.24
V, Å³ per atom: 15.92
DOS(E_F), states/eV/f.u.: 8.289
Total magnetization, μB/f.u.: 0.0

Cell: 4.340 7.608 7.608 Å, 115.75 106.57 106.57°
Element x y z (fractional)
1 Nb 0.000 0.320 0.680
2 Nb 0.000 0.680 0.320
3 Nb 0.500 0.856 0.144
4 Nb 0.500 0.144 0.856
5 Nb 0.500 0.500 0.500
6 Ru 0.269 0.438 0.099
7 Ru 0.778 0.278 0.278
8 Ru 0.222 0.722 0.722
9 Ru 0.731 0.901 0.562
10 Ru 0.731 0.562 0.901
11 Ru 0.269 0.099 0.438
12 Pd 0.000 0.000 0.000

***

Below is a relaxed structure of NbPdRu, with properties calculated at the GGA-PBE level.

Summary:
ΔE_f, eV/atom: -0.26
Polymorph energy (0 for the lowest one), eV per formula unit: 0.02
Theoretical density, g/cm3: 10.55
V, Å³ per atom: 15.76
DOS(E_F), states/eV/f.u.: 1.701
Total magnetization, μB/f.u.: 0.0

Cell: 5.403 4.155 8.624 Å, 90.00 102.25 90.00°
Element x y z (fractional)
1 Nb 0.802 0.000 0.159
2 Nb 0.198 0.500 0.341
3 Nb 0.198 0.000 0.841
4 Nb 0.802 0.500 0.659
5 Pd 0.000 0.000 0.500
6 Pd 0.000 0.500 0.000
7 Pd 0.500 0.500 0.000
8 Pd 0.500 0.000 0.500
9 Ru 0.301 0.000 0.174
10 Ru 0.301 0.500 0.674
11 Ru 0.699 0.500 0.326
12 Ru 0.699 0.000 0.826

***

Below is a relaxed structure of NbPdRu, with properties calculated at the GGA-PBE level.

Summary:
ΔE_f, eV/atom: -0.27
Polymorph energy (0 for the lowest one), eV per formula unit: 0.00
Theoretical density, g/cm3: 10.54
V, Å³ per atom: 15.78
DOS(E_F), states/eV/f.u.: 2.816
Total magnetization, μB/f.u.: 0.0

Cell: 4.364 3.122 7.123 Å, 102.66 90.00 90.00°
Element x y z (fractional)
1 Ru 0.750 0.566 0.132
2 Ru 0.250 0.434 0.868
3 Pd 0.250 0.764 0.528
4 Pd 0.750 0.236 0.472
5 Nb 0.750 0.904 0.809
6 Nb 0.250 0.096 0.191

***

Below is a relaxed structure of Nb2Pd6Ru, with properties calculated at the GGA-PBE level.

Summary:
ΔE_f, eV/atom: -0.30
Theoretical density, g/cm3: 10.91
V, Å³ per atom: 15.65
DOS(E_F), states/eV/f.u.: 7.235
Total magnetization, μB/f.u.: 0.0

Cell: 3.887 6.312 6.364 Å, 107.79 107.78 90.00°
Element x y z (fractional)
1 Pd 0.606 0.162 0.211
2 Pd 0.166 0.500 0.331
3 Pd 0.280 0.165 0.560
4 Pd 0.394 0.838 0.789
5 Pd 0.834 0.500 0.669
6 Pd 0.720 0.835 0.440
7 Nb 0.057 0.810 0.114
8 Nb 0.943 0.190 0.886
9 Ru 0.500 0.500 0.000

***

Below is a relaxed structure of NbPdRu, with properties calculated at the GGA-PBE level.

Summary:
ΔE_f, eV/atom: -0.13
Polymorph energy (0 for the lowest one), eV per formula unit: 0.41
Theoretical density, g/cm3: 10.28
V, Å³ per atom: 16.17
DOS(E_F), states/eV/f.u.: 4.106
Total magnetization, μB/f.u.: 0.0

Cell: 3.268 3.268 5.097 Å, 108.70 108.70 90.00°
Element x y z (fractional)
1 Pd 0.611 0.611 0.222
2 Ru 0.300 0.300 0.600
3 Nb 0.939 0.939 0.878

***

Below is a relaxed structure of Nb2PdRu2, with properties calculated at the GGA-PBE level.

Summary:
ΔE_f, eV/atom: -0.15
Polymorph energy (0 for the lowest one), eV per formula unit: 0.00
Theoretical density, g/cm3: 9.92
V, Å³ per atom: 16.55
DOS(E_F), states/eV/f.u.: 4.289
Total magnetization, μB/f.u.: 0.0

Cell: 7.351 7.351 3.062 Å, 90.00 90.00 90.00°
Element x y z (fractional)
1 Ru 0.637 0.137 0.000
2 Ru 0.137 0.363 0.000
3 Ru 0.363 0.863 0.000
4 Ru 0.863 0.637 0.000
5 Pd 0.000 0.000 0.000
6 Pd 0.500 0.500 0.000
7 Nb 0.663 0.837 0.500
8 Nb 0.337 0.163 0.500
9 Nb 0.837 0.337 0.500
10 Nb 0.163 0.663 0.500

***

Below is a relaxed structure of NbPd3Ru, with properties calculated at the GGA-PBE level.

Summary:
ΔE_f, eV/atom: 1.39
Polymorph energy (0 for the lowest one), eV per formula unit: 0.00
Theoretical density, g/cm3: 7.93
V, Å³ per atom: 21.50
DOS(E_F), states/eV/f.u.: 8.389
Total magnetization, μB/f.u.: 2.0

Cell: 4.755 4.755 4.755 Å, 90.00 90.00 90.00°
Element x y z (fractional)
1 Nb 0.000 0.000 0.000
2 Pd 0.000 0.000 0.500
3 Pd 0.500 0.000 0.000
4 Pd 0.000 0.500 0.000
5 Ru 0.500 0.500 0.500

***

Below is a relaxed structure of NbPdRu, with properties calculated at the GGA-PBE level.

Summary:
ΔE_f, eV/atom: -0.20
Polymorph energy (0 for the lowest one), eV per formula unit: 0.19
Theoretical density, g/cm3: 10.57
V, Å³ per atom: 15.73
DOS(E_F), states/eV/f.u.: 2.862
Total magnetization, μB/f.u.: 0.0

Cell: 5.315 8.494 4.933 Å, 90.00 122.05 90.00°
Element x y z (fractional)
1 Ru 0.250 0.925 0.750
2 Ru 0.250 0.425 0.250
3 Ru 0.750 0.575 0.750
4 Ru 0.750 0.075 0.250
5 Pd 0.750 0.745 0.250
6 Pd 0.750 0.245 0.750
7 Pd 0.250 0.755 0.250
8 Pd 0.250 0.255 0.750
9 Nb 0.750 0.899 0.750
10 Nb 0.250 0.601 0.750
11 Nb 0.250 0.101 0.250
12 Nb 0.750 0.399 0.250

***

Below is a relaxed structure of NbPdRu, with properties calculated at the GGA-PBE level.

Summary:
ΔE_f, eV/atom: -0.25
Polymorph energy (0 for the lowest one), eV per formula unit: 0.03
Theoretical density, g/cm3: 10.54
V, Å³ per atom: 15.78
DOS(E_F), states/eV/f.u.: 2.038
Total magnetization, μB/f.u.: 0.0

Cell: 5.570 4.088 8.484 Å, 90.00 101.38 90.00°
Element x y z (fractional)
1 Pd 0.451 0.500 0.695
2 Pd 0.273 0.000 0.870
3 Pd 0.451 0.000 0.195
4 Pd 0.273 0.500 0.370
5 Ru 0.771 0.000 0.862
6 Ru 0.771 0.500 0.362
7 Ru 0.070 0.500 0.043
8 Ru 0.070 0.000 0.543
9 Nb 0.597 0.500 0.020
10 Nb 0.968 0.500 0.721
11 Nb 0.597 0.000 0.520
12 Nb 0.968 0.000 0.221